Crystalline NdHo2VN4 at its relaxed geometry. Source: Alexandria, functional PBE.

Cell lengths 3.3818, 6.1000, 11.7071 Å; angles 90.00, 90.00, 106.09 degrees
Closest atoms and distances in Å follow each position.
Atoms (fractional coordinates):
N 0.0000 0.0000 0.5000  4 Ho 2.33
Nd 0.9152 0.8304 0.2500  2 N 2.55
N 0.7363 0.4725 0.8758  1 V 1.80
Ho 0.3705 0.7411 0.5422  6 N 2.32-2.51
Ho 0.6295 0.2589 0.4578  6 N 2.32-2.51
N 0.5781 0.1562 0.2500  2 V 2.04
Nd 0.0848 0.1696 0.7500  2 N 2.55
Ho 0.6295 0.2589 0.0422  6 N 2.32-2.51
N 0.0000 0.0000 0.0000  4 Ho 2.33
V 0.1747 0.3495 0.2500  2 N 1.80
N 0.2637 0.5275 0.1242  1 V 1.80
Ho 0.3705 0.7411 0.9578  6 N 2.32-2.51
V 0.8253 0.6505 0.7500  2 N 1.80
N 0.7363 0.4725 0.6242  1 V 1.80
N 0.2637 0.5275 0.3758  1 V 1.80
N 0.4219 0.8438 0.7500  2 V 2.04

Results
**Mass density**: 8.317 g/cm3
**Total moment**: 0.30 μB/cell
**Formation energy from raw total energies**: -1.379 eV per atom
**N(E_F)**: 6.27 states/eV/cell
**Symmetry**: Cmcm
**Energy**: -8.422 eV per atom